The following is a DFT calculation (PBE) of a relaxed CeGaI2 crystal.

Total magnetic moment, μB per formula unit: 1.5
Formation energy from raw total energies, eV per atom: -0.29
Mass density, g cm⁻³: 4.69
Volume, Å³ per atom: 41.01
Density of states at the Fermi level, states/eV per atom: 2.0534
Total energy, eV/cell: -13.2

Geometry as extended XYZ:
```
4
Lattice="-3.143 -2.307 -1.737 0.203 -1.129 -4.111 3.979 -9.893 0.698" Properties=species:S:1:pos:R:3 pbc="T T T"
I 2.494 -7.273 -0.095
I -1.454 -6.057 -5.055
Ga 0.520 -6.665 -2.575
Ce 0.000 0.000 0.000
```